! BaSc3Mo, optimized geometry, DFT GGA-PBE; values from VASP
&SYSTEM
  ibrav = 0, nat = 5, ntyp = 3
/
ATOMIC_SPECIES
Ba 137.33 Ba.upf
Sc 44.96 Sc.upf
Mo 95.94 Mo.upf
CELL_PARAMETERS angstrom
-1.256 3.385 3.849
-5.076 -0.274 -1.416
-0.709 -4.039 3.321
ATOMIC_POSITIONS crystal
Ba 0.500 0.500 0.500
Sc 0.000 0.500 0.000
Sc 0.500 0.000 0.000
Sc 0.000 0.000 0.500
Mo 0.000 0.000 0.000
! Formation energy from the elements: 315 meV/atom
! Total DFT energy (no corrections): -6.03 eV/atom